(1)
Computed, not measured: an optimized crystal structure of Pm4NdPd4 at the GGA-PBE level of DFT.

a b c (Å): 9.149 9.149 5.971
angles (deg): 90.00 90.00 90.00
Sites, in units of the cell vectors:
Pm: 0.067 0.659 0.161
Pm: 0.159 0.933 0.661
Pm: 0.341 0.567 0.661
Pm: 0.433 0.841 0.161
Pm: 0.567 0.159 0.839
Pm: 0.659 0.433 0.339
Pm: 0.841 0.067 0.339
Pm: 0.933 0.341 0.839
Nd: 0.250 0.250 0.250
Nd: 0.750 0.750 0.750
Pd: 0.034 0.627 0.655
Pd: 0.127 0.966 0.155
Pd: 0.373 0.534 0.155
Pd: 0.466 0.873 0.655
Pd: 0.534 0.127 0.345
Pd: 0.627 0.466 0.845
Pd: 0.873 0.034 0.845
Pd: 0.966 0.373 0.345

* calculated formation energy: -601 meV per atom
* E: -99.9 eV per cell
* density: 7.6 g/cm3



(2)
Computed, not measured: an optimized crystal structure of KTbCdF6 at the GGA-PBE level of DFT.

a b c (Å): 8.325 8.325 8.325
angles (deg): 122.55 119.58 88.18
Sites, in units of the cell vectors:
K: 0.284 0.034 0.250
K: 0.716 0.966 0.750
Tb: 0.000 0.500 0.500
Tb: 0.500 0.500 0.000
Cd: 0.000 0.000 0.500
Cd: 0.000 0.500 0.000
F: 0.052 0.410 0.234
F: 0.052 0.819 0.643
F: 0.074 0.824 0.250
F: 0.312 0.562 0.750
F: 0.324 0.181 0.734
F: 0.324 0.590 0.143
F: 0.676 0.410 0.857
F: 0.676 0.819 0.266
F: 0.688 0.438 0.250
F: 0.926 0.176 0.750
F: 0.948 0.181 0.357
F: 0.948 0.590 0.766

* E: -92.2 eV per cell
* E_form (uncorrected): -3.13 eV per atom
* density: 3.5 g/cm3



(3)
Computed, not measured: an optimized crystal structure of YMnPt3 at the GGA-PBE level of DFT.

a b c (Å): 4.638 4.638 4.638
angles (deg): 90.00 90.00 90.00
Sites, in units of the cell vectors:
Y: 0.000 0.000 0.000
Mn: 0.500 0.500 0.500
Pt: 0.000 0.500 0.500
Pt: 0.500 0.000 0.500
Pt: 0.500 0.500 0.000

* calculated formation energy: 8 meV per atom
* E: -33.7 eV per cell
* density: 12.1 g/cm3



(4)
Computed, not measured: an optimized crystal structure of TlHg2ClO2 at the GGA-PBE level of DFT.

a b c (Å): 6.085 6.144 6.411
angles (deg): 90.00 97.73 90.00
Sites, in units of the cell vectors:
Tl: 0.109 0.250 0.403
Tl: 0.891 0.750 0.597
Hg: 0.165 0.250 0.946
Hg: 0.460 0.750 0.750
Hg: 0.540 0.250 0.250
Hg: 0.835 0.750 0.054
Cl: 0.282 0.750 0.154
Cl: 0.718 0.250 0.846
O: 0.180 0.000 0.673
O: 0.180 0.500 0.673
O: 0.820 0.000 0.327
O: 0.820 0.500 0.327

* E: -34.0 eV per cell
* E_form (uncorrected): -0.38 eV per atom
* density: 9.4 g/cm3



(5)
Computed, not measured: an optimized crystal structure of Hf2Bi2Pd at the GGA-PBE level of DFT.

a b c (Å): 7.412 7.412 4.336
angles (deg): 90.00 90.00 90.00
Sites, in units of the cell vectors:
Hf: 0.147 0.353 0.000
Hf: 0.353 0.853 0.000
Hf: 0.647 0.147 0.000
Hf: 0.853 0.647 0.000
Bi: 0.164 0.664 0.500
Bi: 0.336 0.164 0.500
Bi: 0.664 0.836 0.500
Bi: 0.836 0.336 0.500
Pd: 0.000 0.000 0.000
Pd: 0.500 0.500 0.000

* calculated formation energy: -31 meV per atom
* E: -66.0 eV per cell
* density: 12.3 g/cm3